[1]
# KIr2Rh | Alexandria via LeMat-Bulk | PBE | relaxed
# - Excess energy over the best structure of this formula in the dataset: 0.164 eV per atom
# - Final energy: -5.924 eV per atom
data_KIr2Rh
_chemical_formula_sum 'K1 Ir2 Rh1'
_cell_length_a 2.672
_cell_length_b 4.022
_cell_length_c 7.460
_cell_angle_alpha 90.00
_cell_angle_beta 90.00
_cell_angle_gamma 90.00
_symmetry_space_group_name_H-M 'P m m m'
_symmetry_Int_Tables_number 47
loop_
_symmetry_equiv_pos_as_xyz
'x,y,z'
'-x,-y,-z'
'-x,-y,z'
'x,y,-z'
'x,-y,-z'
'-x,y,z'
'-x,y,-z'
'x,-y,z'
loop_
_atom_site_label
_atom_site_type_symbol
_atom_site_fract_x
_atom_site_fract_y
_atom_site_fract_z
K1 K 0.000 0.000 0.000
Ir1 Ir 0.500 0.500 0.333
Rh1 Rh 0.000 0.000 0.500

[2]
# AcNdTlIn | Alexandria via LeMat-Bulk | PBE | relaxed
# - Excess energy over the best structure of this formula in the dataset: 0.000 eV per atom
# - Final energy: -3.906 eV per atom
data_AcNdTlIn
_chemical_formula_sum 'Ac1 Nd1 Tl1 In1'
_cell_length_a 4.001
_cell_length_b 4.001
_cell_length_c 8.017
_cell_angle_alpha 90.00
_cell_angle_beta 90.00
_cell_angle_gamma 90.00
_symmetry_space_group_name_H-M 'P 4 m m'
_symmetry_Int_Tables_number 99
loop_
_symmetry_equiv_pos_as_xyz
'x,y,z'
'-y,x,z'
'-x,-y,z'
'y,-x,z'
'-x,y,z'
'y,x,z'
'x,-y,z'
'-y,-x,z'
loop_
_atom_site_label
_atom_site_type_symbol
_atom_site_fract_x
_atom_site_fract_y
_atom_site_fract_z
Ac1 Ac 0.000 0.000 0.000
Nd1 Nd 0.000 0.000 0.494
Tl1 Tl 0.500 0.500 0.726
In1 In 0.500 0.500 0.266

Q: What is the final energy in the second record?
A: -3.906 eV per atom

Q: Look up the final energy of the second one.
A: -3.906 eV per atom